# 1
This record from Alexandria describes a relaxed GeAsP2 crystal. The functional is PBE.

Cell: 6.291 6.291 6.123 Å, 59.09 59.09 90.00°
Element x y z (fractional)
Ge  0.250  0.750  0.500
Ge  0.500  0.500  0.000
P  0.375  0.388  0.750
P  0.612  0.125  0.250
P  0.138  0.625  0.250
P  0.875  0.862  0.750
As  0.750  0.250  0.500
As  0.000  0.000  0.000

Output
The offset from the most stable computed form is 0.000 eV/atom. The formation energy is 0.286 eV per atom. As for the space group: No. 122. The density comes out at 4.18 g/cm3. The final energy is -4.735 eV per atom. The density of states at the Fermi level is 3.767 states/eV/cell.

=====

# 2
This record from Alexandria describes a relaxed Sr2SnBi crystal. The functional is PBE.

Cell: 9.056 9.056 7.370 Å, 52.10 52.10 90.00°
Element x y z (fractional)
Sr  0.875  0.878  0.750
Sr  0.375  0.372  0.750
Sr  0.122  0.625  0.250
Sr  0.628  0.125  0.250
Sn  0.500  0.500  0.000
Sn  0.250  0.750  0.500
Bi  0.000  0.000  0.000
Bi  0.750  0.250  0.500

Output
The offset from the most stable computed form is 0.265 eV/atom. The formation energy is -0.403 eV per atom. As for the space group: No. 122. The density comes out at 5.58 g/cm3. The final energy is -3.215 eV per atom. The density of states at the Fermi level is 5.724 states/eV/cell.

=====

# 3
This record from Alexandria describes a relaxed Be2CrHg crystal. The functional is PBE.

Cell: 4.175 4.175 4.175 Å, 60.00 60.00 60.00°
Each line ends with the local moment (μB).
Element x y z (fractional)
Be  0.250  0.250  0.250  -0.02
Be  0.750  0.750  0.750  -0.02
Cr  0.000  0.000  0.000  3.14
Hg  0.500  0.500  0.500  -0.03

Output
The offset from the most stable computed form is 0.041 eV/atom. The formation energy is 0.387 eV per atom. As for the space group: No. 225. The density comes out at 8.73 g/cm3. The final energy is -3.957 eV per atom. The density of states at the Fermi level is 2.020 states/eV/cell.

=====

# 4
This record from Alexandria describes a relaxed LiLaCo3 crystal. The functional is PBE.

Cell: 4.632 4.632 4.632 Å, 90.00 90.00 90.00°
Each line ends with the local moment (μB).
Element x y z (fractional)
Co  0.500  0.000  0.000  0.44
Co  0.000  0.000  0.500  0.48
Co  0.000  0.500  0.000  0.59
Li  0.500  0.500  0.500  -0.01
La  0.000  0.000  0.000  -0.17

Output
The offset from the most stable computed form is 0.845 eV/atom. The formation energy is 1.384 eV per atom. As for the space group: No. 221. The density comes out at 5.39 g/cm3. The final energy is -4.248 eV per atom. The density of states at the Fermi level is 3.697 states/eV/cell.

=====

# 5
This record from Alexandria describes a relaxed Sr2ZnSiAu6 crystal. The functional is PBE.

Cell: 6.665 7.148 7.148 Å, 56.22 62.25 89.84°
Element x y z (fractional)
Au  0.676  0.740  0.089
Au  0.242  0.746  0.083
Au  0.753  0.693  0.495
Au  0.324  0.260  0.911
Au  0.247  0.307  0.505
Au  0.758  0.254  0.917
Sr  0.780  0.214  0.442
Sr  0.220  0.786  0.558
Si  0.000  0.000  0.000
Zn  0.500  0.500  0.000

Output
As for the space group: No. 2. The density comes out at 10.26 g/cm3. The final energy is -3.450 eV per atom. The uncorrected formation energy is -0.4779 eV/atom. The density of states at the Fermi level is 4.043 states/eV/cell.

=====

# 6
This record from Alexandria describes a relaxed NaSr4Sb3O12 crystal. The functional is PBE.

Cell: 8.205 8.230 11.574 Å, 45.33 90.00 90.00°
Element x y z (fractional)
Sb  0.000  0.500  0.500
Sb  0.500  0.500  0.000
Sb  0.000  0.500  0.000
Sb  0.000  0.000  0.500
Sb  0.500  0.500  0.500
Sb  0.500  0.000  0.000
O  0.750  0.519  0.529
O  0.772  0.019  0.456
O  0.272  0.981  0.044
O  0.964  0.693  0.272
O  0.036  0.307  0.728
O  0.961  0.238  0.035
O  0.461  0.762  0.465
O  0.538  0.211  0.039
O  0.228  0.981  0.544
O  0.959  0.713  0.749
O  0.038  0.789  0.461
O  0.750  0.519  0.029
O  0.459  0.287  0.751
O  0.250  0.481  0.471
O  0.962  0.211  0.539
O  0.464  0.307  0.228
O  0.039  0.762  0.965
O  0.541  0.713  0.249
O  0.536  0.693  0.772
O  0.462  0.789  0.961
O  0.250  0.481  0.971
O  0.728  0.019  0.956
O  0.041  0.287  0.251
O  0.539  0.238  0.535
Sr  0.754  0.457  0.777
Sr  0.255  0.032  0.237
Sr  0.746  0.457  0.277
Sr  0.745  0.968  0.763
Sr  0.755  0.968  0.263
Sr  0.254  0.543  0.723
Sr  0.245  0.032  0.737
Sr  0.246  0.543  0.223
Na  0.500  0.000  0.500
Na  0.000  0.000  0.000

Output
The offset from the most stable computed form is 0.000 eV/atom. As for the space group: No. 14. The density comes out at 5.56 g/cm3. The final energy is -6.147 eV per atom. The uncorrected formation energy is -2.1510 eV/atom. The density of states at the Fermi level is 0.000 states/eV/cell.

=====

# 7
This record from Alexandria describes a relaxed TaBe7 crystal. The functional is PBE.

Cell: 4.880 4.880 4.880 Å, 60.00 60.00 60.00°
Element x y z (fractional)
Be  0.500  0.000  0.000
Be  0.500  0.500  0.000
Be  0.500  0.000  0.500
Be  0.000  0.500  0.500
Be  0.000  0.500  0.000
Be  0.000  0.000  0.500
Be  0.500  0.500  0.500
Ta  0.000  0.000  0.000

Output
The formation energy is 0.211 eV per atom. As for the space group: No. 225. The density comes out at 4.93 g/cm3. The final energy is -4.531 eV per atom. The density of states at the Fermi level is 3.734 states/eV/cell.

=====

For the records above, the corresponding spin magnetization values read 0.00 0.00 3.32 1.17 0.00 0.00 0.00 μB per cell.